--- one ---
KSrPO4 | PBE | optimized geometry

Values from the calculation:
The density of states at the Fermi level comes out at 0.00 states/eV/atom. The value obtained for the total magnetic moment is 0.00 μB/cell. Its symmetry is Pnma (62).

Unit cell a=7.4472 b=5.6298 c=9.7593 alpha=90.00 beta=90.00 gamma=90.00
Atoms (fractional coordinates):
K: 0.1587 0.2500 0.0824
K: 0.3413 0.7500 0.5824
K: 0.6587 0.2500 0.4176
K: 0.8413 0.7500 0.9176
Sr: 0.0007 0.2500 0.6962
Sr: 0.4993 0.7500 0.1962
Sr: 0.5007 0.2500 0.8038
Sr: 0.9993 0.7500 0.3038
P: 0.2262 0.2500 0.4163
P: 0.2738 0.7500 0.9163
P: 0.7262 0.2500 0.0837
P: 0.7738 0.7500 0.5837
O: 0.0181 0.2500 0.4268
O: 0.1919 0.7500 0.0641
O: 0.2119 0.5225 0.8380
O: 0.2119 0.9775 0.8380
O: 0.2881 0.0225 0.3380
O: 0.2881 0.4775 0.3380
O: 0.3081 0.2500 0.5641
O: 0.4819 0.7500 0.9268
O: 0.5181 0.2500 0.0732
O: 0.6919 0.7500 0.4359
O: 0.7119 0.5225 0.6620
O: 0.7119 0.9775 0.6620
O: 0.7881 0.0225 0.1620
O: 0.7881 0.4775 0.1620
O: 0.8081 0.2500 0.9359
O: 0.9819 0.7500 0.5732

=====

--- two ---
KSrPO4 | PBE | optimized geometry

Values from the calculation:
The density of states at the Fermi level comes out at 0.00 states/eV/atom. The value obtained for the total magnetic moment is 0.00 μB/cell. Its symmetry is Cmcm (63).

Unit cell a=5.7950 b=5.7950 c=7.4568 alpha=90.00 beta=90.00 gamma=115.88
Atoms (fractional coordinates):
K: 0.0000 0.0000 0.0000
K: 0.0000 0.0000 0.5000
Sr: 0.3195 0.6805 0.7500
Sr: 0.6805 0.3195 0.2500
P: 0.3582 0.6418 0.2500
P: 0.6418 0.3582 0.7500
O: 0.2494 0.3425 0.2500
O: 0.2669 0.7331 0.0799
O: 0.2669 0.7331 0.4201
O: 0.3425 0.2494 0.7500
O: 0.6575 0.7506 0.2500
O: 0.7331 0.2669 0.5799
O: 0.7331 0.2669 0.9201
O: 0.7506 0.6575 0.7500

=====

If you had to name the least stable structure above, which would it be? It would be two.